Entry 1:
A plane-wave DFT calculation with GGA-PBE was carried out for a relaxed Ba2Cd7Pb crystal.

```
data_Ba2Cd7Pb
_chemical_formula_sum 'Ba2 Cd7 Pb1'
_cell_length_a 4.862
_cell_length_b 4.862
_cell_length_c 12.693
_cell_angle_alpha 90.00
_cell_angle_beta 90.00
_cell_angle_gamma 90.00
_space_group_name_H-M_alt 'P 1'
_space_group_IT_number 1
loop_
_space_group_symop_operation_xyz
'x,y,z'
loop_
_atom_site_label
_atom_site_type_symbol
_atom_site_fract_x
_atom_site_fract_y
_atom_site_fract_z
Ba1 Ba 0.000 0.500 0.249
Ba2 Ba 0.500 0.000 0.751
Cd1 Cd 0.000 0.000 0.000
Cd2 Cd 0.000 0.500 0.641
Cd3 Cd 0.000 0.500 0.866
Cd4 Cd 0.500 0.000 0.134
Cd5 Cd 0.500 0.000 0.359
Cd6 Cd 0.500 0.500 0.000
Cd7 Cd 0.500 0.500 0.500
Pb1 Pb 0.000 0.000 0.500
```


Entry 2:
A plane-wave DFT calculation with GGA-PBE was carried out for a relaxed Ba3Cd8Pb crystal.

```
data_Ba3Cd8Pb
_chemical_formula_sum 'Ba3 Cd8 Pb1'
_cell_length_a 10.910
_cell_length_b 10.910
_cell_length_c 10.910
_cell_angle_alpha 33.85
_cell_angle_beta 33.85
_cell_angle_gamma 33.85
_space_group_name_H-M_alt 'P 1'
_space_group_IT_number 1
loop_
_space_group_symop_operation_xyz
'x,y,z'
loop_
_atom_site_label
_atom_site_type_symbol
_atom_site_fract_x
_atom_site_fract_y
_atom_site_fract_z
Ba1 Ba 0.000 0.000 0.000
Ba2 Ba 0.127 0.127 0.127
Ba3 Ba 0.620 0.620 0.620
Cd1 Cd 0.062 0.062 0.562
Cd2 Cd 0.062 0.562 0.062
Cd3 Cd 0.065 0.562 0.562
Cd4 Cd 0.311 0.311 0.311
Cd5 Cd 0.562 0.062 0.062
Cd6 Cd 0.562 0.065 0.562
Cd7 Cd 0.562 0.562 0.065
Cd8 Cd 0.813 0.813 0.813
Pb1 Pb 0.496 0.496 0.496
```


Entry 3:
A plane-wave DFT calculation with GGA-PBE was carried out for a relaxed Ba2Cd5Pb crystal.

```
data_Ba2Cd5Pb
_chemical_formula_sum 'Ba4 Cd10 Pb2'
_cell_length_a 9.676
_cell_length_b 9.676
_cell_length_c 10.332
_cell_angle_alpha 90.00
_cell_angle_beta 90.00
_cell_angle_gamma 148.75
_space_group_name_H-M_alt 'P 1'
_space_group_IT_number 1
loop_
_space_group_symop_operation_xyz
'x,y,z'
loop_
_atom_site_label
_atom_site_type_symbol
_atom_site_fract_x
_atom_site_fract_y
_atom_site_fract_z
Ba1 Ba 0.000 0.000 0.000
Ba2 Ba 0.000 0.000 0.500
Ba3 Ba 0.203 0.797 0.750
Ba4 Ba 0.797 0.203 0.250
Cd1 Cd 0.186 0.814 0.108
Cd2 Cd 0.186 0.814 0.392
Cd3 Cd 0.345 0.655 0.017
Cd4 Cd 0.345 0.655 0.483
Cd5 Cd 0.400 0.600 0.750
Cd6 Cd 0.600 0.400 0.250
Cd7 Cd 0.655 0.345 0.517
Cd8 Cd 0.655 0.345 0.983
Cd9 Cd 0.814 0.186 0.608
Cd10 Cd 0.814 0.186 0.892
Pb1 Pb 0.441 0.559 0.250
Pb2 Pb 0.559 0.441 0.750
```


Entry 4:
A plane-wave DFT calculation with GGA-PBE was carried out for a relaxed Ba3CdPb crystal.

```
data_Ba3CdPb
_chemical_formula_sum 'Ba6 Cd2 Pb2'
_cell_length_a 11.096
_cell_length_b 4.441
_cell_length_c 11.097
_cell_angle_alpha 90.00
_cell_angle_beta 117.79
_cell_angle_gamma 90.00
_space_group_name_H-M_alt 'P 1'
_space_group_IT_number 1
loop_
_space_group_symop_operation_xyz
'x,y,z'
loop_
_atom_site_label
_atom_site_type_symbol
_atom_site_fract_x
_atom_site_fract_y
_atom_site_fract_z
Ba1 Ba 0.087 0.000 0.292
Ba2 Ba 0.292 0.001 0.085
Ba3 Ba 0.351 0.501 0.649
Ba4 Ba 0.649 0.501 0.351
Ba5 Ba 0.708 0.001 0.915
Ba6 Ba 0.913 0.000 0.708
Cd1 Cd 0.000 0.500 0.500
Cd2 Cd 0.500 0.502 0.000
Pb1 Pb 0.000 0.501 0.000
Pb2 Pb 0.500 0.001 0.500
```

ΔE to the lowest computed polymorph: 0.144 eV per atom


Entry 5:
A plane-wave DFT calculation with GGA-PBE was carried out for a relaxed Ba2Cd4Pb5 crystal.

```
data_Ba2Cd4Pb5
_chemical_formula_sum 'Ba2 Cd4 Pb5'
_cell_length_a 8.013
_cell_length_b 8.013
_cell_length_c 10.034
_cell_angle_alpha 128.71
_cell_angle_beta 128.71
_cell_angle_gamma 50.25
_space_group_name_H-M_alt 'P 1'
_space_group_IT_number 1
loop_
_space_group_symop_operation_xyz
'x,y,z'
loop_
_atom_site_label
_atom_site_type_symbol
_atom_site_fract_x
_atom_site_fract_y
_atom_site_fract_z
Ba1 Ba 0.213 0.213 0.214
Ba2 Ba 0.787 0.787 0.786
Cd1 Cd 0.240 0.240 0.591
Cd2 Cd 0.241 0.241 0.891
Cd3 Cd 0.759 0.759 0.109
Cd4 Cd 0.760 0.760 0.409
Pb1 Pb 0.260 0.740 0.304
Pb2 Pb 0.260 0.740 0.696
Pb3 Pb 0.500 0.500 0.000
Pb4 Pb 0.740 0.260 0.304
Pb5 Pb 0.740 0.260 0.696
```


Entry 6:
A plane-wave DFT calculation with GGA-PBE was carried out for a relaxed Ba2CdPb crystal.

```
data_Ba2CdPb
_chemical_formula_sum 'Ba4 Cd2 Pb2'
_cell_length_a 5.846
_cell_length_b 7.538
_cell_length_c 7.547
_cell_angle_alpha 69.22
_cell_angle_beta 89.95
_cell_angle_gamma 89.97
_space_group_name_H-M_alt 'P 1'
_space_group_IT_number 1
loop_
_space_group_symop_operation_xyz
'x,y,z'
loop_
_atom_site_label
_atom_site_type_symbol
_atom_site_fract_x
_atom_site_fract_y
_atom_site_fract_z
Ba1 Ba 0.250 0.137 0.143
Ba2 Ba 0.250 0.646 0.639
Ba3 Ba 0.750 0.354 0.361
Ba4 Ba 0.750 0.863 0.857
Cd1 Cd 0.250 0.647 0.152
Cd2 Cd 0.750 0.353 0.848
Pb1 Pb 0.250 0.160 0.656
Pb2 Pb 0.750 0.840 0.344
```

ΔE to the lowest computed polymorph: 0.025 eV per atom


Entry 7:
A plane-wave DFT calculation with GGA-PBE was carried out for a relaxed Ba4CdPb crystal.

```
data_Ba4CdPb
_chemical_formula_sum 'Ba4 Cd1 Pb1'
_cell_length_a 5.946
_cell_length_b 5.946
_cell_length_c 8.731
_cell_angle_alpha 90.00
_cell_angle_beta 90.00
_cell_angle_gamma 90.00
_space_group_name_H-M_alt 'P 1'
_space_group_IT_number 1
loop_
_space_group_symop_operation_xyz
'x,y,z'
loop_
_atom_site_label
_atom_site_type_symbol
_atom_site_fract_x
_atom_site_fract_y
_atom_site_fract_z
Ba1 Ba 0.000 0.500 0.248
Ba2 Ba 0.000 0.500 0.752
Ba3 Ba 0.500 0.000 0.248
Ba4 Ba 0.500 0.000 0.752
Cd1 Cd 0.000 0.000 0.500
Pb1 Pb 0.500 0.500 0.000
```

ΔE to the lowest computed polymorph: 0.000 eV per atom


Entry 8:
A plane-wave DFT calculation with GGA-PBE was carried out for a relaxed Ba3CdPb crystal.

```
data_Ba3CdPb
_chemical_formula_sum 'Ba6 Cd2 Pb2'
_cell_length_a 12.469
_cell_length_b 12.469
_cell_length_c 6.089
_cell_angle_alpha 90.00
_cell_angle_beta 90.00
_cell_angle_gamma 151.71
_space_group_name_H-M_alt 'P 1'
_space_group_IT_number 1
loop_
_space_group_symop_operation_xyz
'x,y,z'
loop_
_atom_site_label
_atom_site_type_symbol
_atom_site_fract_x
_atom_site_fract_y
_atom_site_fract_z
Ba1 Ba 0.077 0.923 0.750
Ba2 Ba 0.250 0.750 0.750
Ba3 Ba 0.423 0.577 0.750
Ba4 Ba 0.577 0.423 0.250
Ba5 Ba 0.750 0.250 0.250
Ba6 Ba 0.923 0.077 0.250
Cd1 Cd 0.158 0.842 0.250
Cd2 Cd 0.842 0.158 0.750
Pb1 Pb 0.340 0.660 0.250
Pb2 Pb 0.660 0.340 0.750
```

ΔE to the lowest computed polymorph: 0.000 eV per atom


Entry 9:
A plane-wave DFT calculation with GGA-PBE was carried out for a relaxed BaCdPb4 crystal.

```
data_BaCdPb4
_chemical_formula_sum 'Ba1 Cd1 Pb4'
_cell_length_a 6.631
_cell_length_b 6.631
_cell_length_c 6.631
_cell_angle_alpha 60.00
_cell_angle_beta 60.00
_cell_angle_gamma 60.00
_space_group_name_H-M_alt 'P 1'
_space_group_IT_number 1
loop_
_space_group_symop_operation_xyz
'x,y,z'
loop_
_atom_site_label
_atom_site_type_symbol
_atom_site_fract_x
_atom_site_fract_y
_atom_site_fract_z
Ba1 Ba 0.000 0.000 0.000
Cd1 Cd 0.250 0.250 0.250
Pb1 Pb 0.123 0.626 0.626
Pb2 Pb 0.626 0.123 0.626
Pb3 Pb 0.626 0.626 0.123
Pb4 Pb 0.626 0.626 0.626
```

ΔE to the lowest computed polymorph: 0.000 eV per atom


Entry 10:
A plane-wave DFT calculation with GGA-PBE was carried out for a relaxed Ba3Cd8Pb3 crystal.

```
data_Ba3Cd8Pb3
_chemical_formula_sum 'Ba3 Cd8 Pb3'
_cell_length_a 9.705
_cell_length_b 9.705
_cell_length_c 9.705
_cell_angle_alpha 149.54
_cell_angle_beta 109.86
_cell_angle_gamma 78.36
_space_group_name_H-M_alt 'P 1'
_space_group_IT_number 1
loop_
_space_group_symop_operation_xyz
'x,y,z'
loop_
_atom_site_label
_atom_site_type_symbol
_atom_site_fract_x
_atom_site_fract_y
_atom_site_fract_z
Ba1 Ba 0.000 0.000 0.000
Ba2 Ba 0.311 0.311 0.000
Ba3 Ba 0.689 0.689 0.000
Cd1 Cd 0.038 0.667 0.371
Cd2 Cd 0.120 0.853 0.267
Cd3 Cd 0.297 0.667 0.629
Cd4 Cd 0.414 0.147 0.267
Cd5 Cd 0.586 0.853 0.733
Cd6 Cd 0.703 0.333 0.371
Cd7 Cd 0.880 0.147 0.733
Cd8 Cd 0.962 0.333 0.629
Pb1 Pb 0.286 0.500 0.786
Pb2 Pb 0.500 0.000 0.500
Pb3 Pb 0.714 0.500 0.214
```


Entry 11:
A plane-wave DFT calculation with GGA-PBE was carried out for a relaxed Ba2CdPb crystal.

```
data_Ba2CdPb
_chemical_formula_sum 'Ba2 Cd1 Pb1'
_cell_length_a 4.210
_cell_length_b 5.666
_cell_length_c 7.275
_cell_angle_alpha 90.00
_cell_angle_beta 90.00
_cell_angle_gamma 90.00
_space_group_name_H-M_alt 'P 1'
_space_group_IT_number 1
loop_
_space_group_symop_operation_xyz
'x,y,z'
loop_
_atom_site_label
_atom_site_type_symbol
_atom_site_fract_x
_atom_site_fract_y
_atom_site_fract_z
Ba1 Ba 0.000 0.000 0.000
Ba2 Ba 0.500 0.500 0.404
Cd1 Cd 0.000 0.000 0.520
Pb1 Pb 0.500 0.500 0.881
```

ΔE to the lowest computed polymorph: 0.254 eV per atom


Entry 12:
A plane-wave DFT calculation with GGA-PBE was carried out for a relaxed Ba3Cd2Pb2 crystal.

```
data_Ba3Cd2Pb2
_chemical_formula_sum 'Ba3 Cd2 Pb2'
_cell_length_a 6.906
_cell_length_b 6.906
_cell_length_c 8.307
_cell_angle_alpha 106.09
_cell_angle_beta 106.09
_cell_angle_gamma 45.65
_space_group_name_H-M_alt 'P 1'
_space_group_IT_number 1
loop_
_space_group_symop_operation_xyz
'x,y,z'
loop_
_atom_site_label
_atom_site_type_symbol
_atom_site_fract_x
_atom_site_fract_y
_atom_site_fract_z
Ba1 Ba 0.000 0.000 0.000
Ba2 Ba 0.164 0.164 0.622
Ba3 Ba 0.836 0.836 0.378
Cd1 Cd 0.306 0.306 0.062
Cd2 Cd 0.694 0.694 0.938
Pb1 Pb 0.465 0.465 0.674
Pb2 Pb 0.535 0.535 0.326
```


no.,VASP energy (eV/atom),DOS at the Fermi energy (states/eV/cell),DFT formation energy (eV/atom)
1,-1.6746,5.82,-0.279
2,-1.6562,6.39,-0.256
3,-1.8454,12.46,-0.329
4,-2.3242,10.08,-0.246
5,-2.5730,5.03,-0.205
6,-2.5833,2.27,-0.466
7,-2.3205,6.66,-0.268
8,-2.4681,7.15,-0.390
9,-3.1135,2.36,-0.168
10,-2.0324,7.92,-0.303
11,-2.3541,3.19,-0.237
12,-2.6060,3.61,-0.461